VASP calculation (SCAN) on a PBEsol-optimized structure of ScCo2N.

## Properties
Formation energy from raw total energies ... -0.2271 eV per atom
Space group ... I-42d, No. 122
Calculated volume ... 47 Å³/f.u.
Total moment ... 2.82 Bohr magnetons per cell

a = 5.0612 Å, b = 5.0612 Å, c = 5.0612 Å
α = 102.20°, β = 102.20°, γ = 125.27°
Fractional coordinates of all 8 atoms:
Sc1 0.0000 0.0000 0.0000
Sc2 0.7500 0.2500 0.5000
Co1 0.2690 0.1250 0.6440
Co2 0.3750 0.7310 0.8560
Co3 0.4810 0.6250 0.3560
Co4 0.8750 0.5190 0.1440
N1 0.2500 0.7500 0.5000
N2 0.5000 0.5000 0.0000

VASP calculation (SCAN) on a PBEsol-optimized structure of LiCa4Be.

## Properties
Final energy ... -6.82 eV per atom
Space group ... F-43m, No. 216
Calculated volume ... 213 Å³/f.u.
Total moment ... 0.00 Bohr magnetons per cell

a = 6.7081 Å, b = 6.7081 Å, c = 6.7081 Å
α = 60.00°, β = 60.00°, γ = 60.00°
Fractional coordinates of all 6 atoms:
Li1 0.0000 0.0000 0.0000
Ca1 0.3756 0.3756 0.3756
Ca2 0.3756 0.3756 0.8733
Ca3 0.3756 0.8733 0.3756
Ca4 0.8733 0.3756 0.3756
Be1 0.7500 0.7500 0.7500